1.
Below is PrPt2 after structural relaxation, with properties calculated at the PBE level.

The structure in POSCAR format:
```
PrPt2
1.0
-2.2954 -2.4050 -4.4321
2.8244 -0.3124 -4.7562
1.8872 -4.8938 -1.7848
Pr Pt
2 4
Direct
0.7500 0.7500 0.7500
0.5000 0.5000 0.5000
0.1250 0.6250 0.1250
0.1250 0.1250 0.6250
0.6250 0.1250 0.1250
0.1250 0.1250 0.1250
```

* DOS(E_F): 0.81 states/eV/f.u.
* DFT formation energy: -300 kJ/mol of formula units
* crystal system: cubic
* total DFT energy (no corrections): -6.6574 eV/atom
* size of the total moment: 0.00 μB per cell
* volume: 20.04 Å³/atom

---

2.
Below is Pr13Pt2 after structural relaxation, with properties calculated at the PBE level.

The structure in POSCAR format:
```
Pr13Pt2
1.0
6.8236 -0.2142 0.1937
-1.1307 8.5334 -0.1485
-0.3013 -4.4065 8.7100
Pr Pt
13 2
Direct
0.7590 0.5991 0.0241
0.2410 0.4009 0.9759
0.0000 0.0000 0.0000
0.1750 0.9884 0.6354
0.8250 0.0116 0.3646
0.0247 0.4598 0.6614
0.9753 0.5402 0.3386
0.4981 0.6681 0.4371
0.5019 0.3319 0.5629
0.4534 0.7851 0.8430
0.5466 0.2149 0.1570
0.7110 0.1386 0.7759
0.2890 0.8614 0.2241
0.8239 0.7483 0.6725
0.1761 0.2517 0.3275
```

* DOS(E_F): 20.81 states/eV/f.u.
* DFT formation energy: -357 kJ/mol of formula units
* crystal system: triclinic
* total DFT energy (no corrections): -5.1945 eV/atom
* size of the total moment: 0.00 μB per cell
* volume: 33.47 Å³/atom

---

3.
Below is Pr3Pt4 after structural relaxation, with properties calculated at the PBE level.

The structure in POSCAR format:
```
Pr3Pt4
1.0
-4.9331 4.0943 5.1353
0.8317 -7.9896 1.7159
7.0327 3.8564 -1.7719
Pr Pt
6 8
Direct
0.2815 0.4056 0.0298
0.0298 0.2815 0.4056
0.9702 0.7185 0.5944
0.7185 0.5944 0.9702
0.4056 0.0298 0.2815
0.5944 0.9702 0.7185
0.9425 0.4457 0.7781
0.4457 0.7781 0.9425
0.7781 0.9425 0.4457
0.5000 0.5000 0.5000
0.2219 0.0575 0.5543
0.0575 0.5543 0.2219
0.5543 0.2219 0.0575
0.0000 0.0000 0.0000
```

* DOS(E_F): 3.01 states/eV/f.u.
* DFT formation energy: -724 kJ/mol of formula units
* crystal system: trigonal
* total DFT energy (no corrections): -6.5725 eV/atom
* size of the total moment: 0.00 μB per cell
* volume: 23.09 Å³/atom

---

4.
Below is PrPt2 after structural relaxation, with properties calculated at the PBE level.

The structure in POSCAR format:
```
PrPt2
1.0
3.9538 0.1477 -0.1648
0.1477 3.9538 -0.1648
-2.2855 -2.2855 4.6720
Pr Pt
1 2
Direct
0.5000 0.5000 0.0000
0.2191 0.2191 0.2954
0.7809 0.7809 0.7046
```

* DOS(E_F): 2.17 states/eV/f.u.
* DFT formation energy: -214 kJ/mol of formula units
* crystal system: monoclinic
* total DFT energy (no corrections): -6.3609 eV/atom
* size of the total moment: 0.00 μB per cell
* volume: 23.36 Å³/atom

---

5.
Below is Pr7Pt5 after structural relaxation, with properties calculated at the PBE level.

The structure in POSCAR format:
```
Pr7Pt5
1.0
4.0411 0.0000 0.7404
1.6777 6.7096 2.2412
-0.2886 0.4713 12.9735
Pr Pt
7 5
Direct
0.7443 0.8699 0.6415
0.2557 0.1301 0.3585
0.0401 0.7026 0.2171
0.9599 0.2974 0.7829
0.3447 0.2627 0.0478
0.5000 0.5000 0.5000
0.6553 0.7373 0.9522
0.8826 0.8123 0.4225
0.1174 0.1877 0.5775
0.6980 0.4190 0.1850
0.3020 0.5810 0.8150
0.0000 0.0000 0.0000
```

* DOS(E_F): 7.43 states/eV/f.u.
* DFT formation energy: -1066 kJ/mol of formula units
* crystal system: monoclinic
* total DFT energy (no corrections): -6.2259 eV/atom
* size of the total moment: 0.00 μB per cell
* volume: 29.13 Å³/atom

---

6.
Below is PrPuPt after structural relaxation, with properties calculated at the PBE level.

The structure in POSCAR format:
```
PrPuPt
1.0
-0.0428 3.3178 2.2045
-1.1612 -2.5610 3.8319
4.5718 0.7596 -1.0545
Pr Pt Pu
1 1 1
Direct
0.3047 0.3333 0.6667
0.9544 0.0000 0.0000
0.7409 0.6667 0.3333
```

* DOS(E_F): 9.56 states/eV/f.u.
* DFT formation energy: -123 kJ/mol of formula units
* crystal system: trigonal
* total DFT energy (no corrections): -8.8078 eV/atom
* size of the total moment: 6.02 μB per cell
* volume: 25.98 Å³/atom

---

7.
Below is PrPuPt after structural relaxation, with properties calculated at the PBE level.

The structure in POSCAR format:
```
PrPuPt
1.0
3.9085 0.0000 0.0000
1.9542 3.3849 0.0000
1.9542 1.1283 6.6948
Pu Pr Pt
1 1 1
Direct
0.3491 0.3491 0.9528
0.5332 0.5332 0.4005
0.1031 0.1031 0.6906
```

* DOS(E_F): 12.51 states/eV/f.u.
* DFT formation energy: -109 kJ/mol of formula units
* crystal system: trigonal
* total DFT energy (no corrections): -8.7616 eV/atom
* size of the total moment: 5.96 μB per cell
* volume: 29.52 Å³/atom

---

8.
Below is PrPuPt after structural relaxation, with properties calculated at the PBE level.

The structure in POSCAR format:
```
PrPuPt
1.0
4.9667 0.0000 0.0000
2.4833 4.3013 0.0000
2.4833 1.4338 4.0553
Pr Pt Pu
1 1 1
Direct
0.5000 0.5000 0.5000
0.2500 0.2500 0.2500
0.0000 0.0000 0.0000
```

* DOS(E_F): 8.74 states/eV/f.u.
* DFT formation energy: -151 kJ/mol of formula units
* crystal system: cubic
* total DFT energy (no corrections): -8.9046 eV/atom
* size of the total moment: 6.38 μB per cell
* volume: 28.88 Å³/atom

---

9.
Below is PrPuPt after structural relaxation, with properties calculated at the PBE level.

The structure in POSCAR format:
```
PrPuPt
1.0
-0.3829 -2.2914 7.1032
-0.9284 -8.7954 1.0442
7.3175 -4.0898 3.0067
Pr Pu Pt
6 6 6
Direct
0.1692 0.0420 0.5420
0.7532 0.9580 0.4580
0.3376 0.7500 0.2500
0.3376 0.2500 0.7500
0.7532 0.4581 0.9581
0.1693 0.5419 0.0419
0.0028 0.0000 0.0000
0.0028 0.5000 0.5000
0.7531 0.3754 0.3755
0.5040 0.6246 0.6245
0.5040 0.1245 0.1246
0.7531 0.8755 0.8754
0.7534 0.2500 0.7500
0.7535 0.7500 0.2500
0.0864 0.1668 0.1668
0.4199 0.8332 0.8332
0.4199 0.3332 0.3332
0.0864 0.6668 0.6668
```

* DOS(E_F): 6.88 states/eV/f.u.
* DFT formation energy: -193 kJ/mol of formula units
* crystal system: hexagonal
* total DFT energy (no corrections): -9.0495 eV/atom
* size of the total moment: 35.73 μB per cell
* volume: 26.04 Å³/atom

---

10.
Below is Pr2PuPt3 after structural relaxation, with properties calculated at the PBE level.

The structure in POSCAR format:
```
Pr2PuPt3
1.0
4.2230 0.0000 0.0000
0.0000 5.9087 0.0000
-2.1115 -2.9544 6.2094
Pr Pu Pt
2 1 3
Direct
0.6684 0.1684 0.3369
0.3316 0.8316 0.6631
0.0000 0.5000 0.0000
0.3430 0.3430 0.6860
0.0000 0.0000 0.0000
0.6570 0.6570 0.3140
```

* DOS(E_F): 13.98 states/eV/f.u.
* DFT formation energy: -530 kJ/mol of formula units
* crystal system: orthorhombic
* total DFT energy (no corrections): -7.9175 eV/atom
* size of the total moment: 5.20 μB per cell
* volume: 25.82 Å³/atom

---

11.
Below is PrPu2Pt after structural relaxation, with properties calculated at the PBE level.

The structure in POSCAR format:
```
PrPu2Pt
1.0
3.6805 0.0000 0.0000
0.0000 3.6805 0.0000
0.0000 0.0000 7.8061
Pr Pt Pu
1 1 2
Direct
0.5000 0.5000 0.5000
0.5000 0.5000 0.0000
0.0000 0.0000 0.8039
0.0000 0.0000 0.1961
```

* DOS(E_F): 15.08 states/eV/f.u.
* DFT formation energy: -108 kJ/mol of formula units
* crystal system: tetragonal
* total DFT energy (no corrections): -10.1520 eV/atom
* size of the total moment: 11.59 μB per cell
* volume: 26.44 Å³/atom

---

12.
Below is PrPu2Pt9 after structural relaxation, with properties calculated at the PBE level.

The structure in POSCAR format:
```
PrPu2Pt9
1.0
-4.4957 1.4957 -2.6626
-3.6815 -3.7342 -1.4285
-6.9294 0.4302 6.3949
Pr Pu Pt
1 2 9
Direct
0.0000 0.0000 0.0000
0.8573 0.8573 0.4282
0.1427 0.1427 0.5718
0.6673 0.6673 0.9982
0.3327 0.3327 0.0018
0.5000 0.5000 0.5000
0.4131 0.4131 0.2554
0.9184 0.4131 0.2554
0.4131 0.9184 0.2554
0.5869 0.5869 0.7446
0.5869 0.0816 0.7446
0.0816 0.5869 0.7446
```

* DOS(E_F): 26.96 states/eV/f.u.
* DFT formation energy: -914 kJ/mol of formula units
* crystal system: trigonal
* total DFT energy (no corrections): -8.1066 eV/atom
* size of the total moment: 10.18 μB per cell
* volume: 18.98 Å³/atom

---

- Among the records above, which one has the highest DOS(E_F)?
  PrPu2Pt9

---

- What is the total DFT energy (no corrections) in the sixth record?
  -8.8078 eV/atom

---

- Which formula does entry 1 have?
  PrPt2